Compound: Pr6InPd
Source: Alexandria via LeMat-Bulk
Functional: PBE
Structure: optimized geometry

Calculated values
ΔH_f (0 K): -0.232 eV/atom
Electronic total energy: -4.8076 eV per atom
Crystal system: monoclinic
M_tot: 0.00 μB/atom

```
Pr6InPd
1.0
3.506 -5.373 0.000
3.506 5.373 0.000
-1.302 0.000 6.563
Pr In Pd
6 1 1
direct
0.083 0.656 0.732
0.259 0.259 0.914
0.344 0.917 0.268
0.656 0.083 0.732
0.741 0.741 0.086
0.917 0.344 0.268
0.500 0.500 0.500
0.000 0.000 0.500
```

Compound: Pr2InPd
Source: Alexandria via LeMat-Bulk
Functional: PBE
Structure: optimized geometry

Calculated values
ΔH_f (0 K): -0.157 eV/atom
Electronic total energy: -4.5293 eV per atom
Polymorph energy (0 for the lowest one): 437 meV per atom
Crystal system: trigonal
M_tot: 0.00 μB/atom

```
Pr2InPd
1.0
1.972 1.138 10.247
-1.972 1.138 10.247
0.000 -2.277 10.247
Pr In Pd
2 1 1
direct
0.108 0.108 0.108
0.892 0.892 0.892
0.000 0.000 0.000
0.500 0.500 0.500
```

Compound: Pr5In2Pd
Source: Alexandria via LeMat-Bulk
Functional: PBE
Structure: optimized geometry

Calculated values
ΔH_f (0 K): -0.324 eV/atom
Electronic total energy: -4.6446 eV per atom
Crystal system: tetragonal
M_tot: 0.00 μB/atom

```
Pr5In2Pd
1.0
-3.602 3.602 4.551
3.602 -3.602 4.551
3.602 3.602 -4.551
Pr In Pd
5 2 1
direct
0.000 0.000 0.000
0.489 0.489 0.505
0.489 0.984 0.000
0.984 0.489 0.000
0.984 0.984 0.495
0.486 0.986 0.500
0.986 0.486 0.500
0.426 0.426 0.000
```

Compound: Pr2In2Pd15
Source: Alexandria via LeMat-Bulk
Functional: PBE
Structure: optimized geometry

Calculated values
ΔH_f (0 K): -0.416 eV/atom
Electronic total energy: -5.3065 eV per atom
Crystal system: trigonal
M_tot: 0.00 μB/atom

```
Pr2In2Pd15
1.0
4.615 2.664 4.656
-4.615 2.664 4.656
0.000 -5.329 4.656
Pr In Pd
2 2 15
direct
0.149 0.149 0.149
0.851 0.851 0.851
0.397 0.397 0.397
0.603 0.603 0.603
0.000 0.500 0.500
0.150 0.150 0.656
0.150 0.656 0.150
0.196 0.500 0.804
0.196 0.804 0.500
0.344 0.850 0.850
0.500 0.000 0.500
0.500 0.196 0.804
0.500 0.500 0.000
0.500 0.804 0.196
0.656 0.150 0.150
0.804 0.196 0.500
0.804 0.500 0.196
0.850 0.344 0.850
0.850 0.850 0.344
```

Compound: Pr8In2Pd
Source: Alexandria via LeMat-Bulk
Functional: PBE
Structure: optimized geometry

Calculated values
ΔH_f (0 K): -0.294 eV/atom
Electronic total energy: -4.7401 eV per atom
Polymorph energy (0 for the lowest one): 0 meV per atom
Crystal system: monoclinic
M_tot: 0.00 μB/atom

```
Pr8In2Pd
1.0
9.747 -2.640 0.000
9.747 2.640 0.000
-1.687 0.000 6.833
Pr In Pd
8 2 1
direct
0.016 0.016 0.276
0.209 0.209 0.802
0.350 0.350 0.522
0.408 0.408 0.039
0.592 0.592 0.961
0.650 0.650 0.478
0.791 0.791 0.198
0.984 0.984 0.724
0.184 0.184 0.247
0.816 0.816 0.753
0.500 0.500 0.500
```

Compound: Pr2InPd
Source: Alexandria via LeMat-Bulk
Functional: PBE
Structure: optimized geometry

Calculated values
ΔH_f (0 K): -0.501 eV/atom
Electronic total energy: -4.8740 eV per atom
Polymorph energy (0 for the lowest one): 92 meV per atom
Crystal system: cubic
M_tot: 0.00 μB/atom

```
Pr2InPd
1.0
0.000 3.797 3.797
3.797 0.000 3.797
3.797 3.797 0.000
Pr In Pd
2 1 1
direct
0.250 0.250 0.250
0.750 0.750 0.750
0.000 0.000 0.000
0.500 0.500 0.500
```

Compound: Pr8In2Pd
Source: Alexandria via LeMat-Bulk
Functional: PBE
Structure: optimized geometry

Calculated values
ΔH_f (0 K): -0.270 eV/atom
Electronic total energy: -4.7157 eV per atom
Polymorph energy (0 for the lowest one): 24 meV per atom
Crystal system: orthorhombic
M_tot: 0.00 μB/atom

```
Pr8In2Pd
1.0
-2.820 3.624 8.444
2.820 -3.624 8.444
2.820 3.624 -8.444
Pr In Pd
8 2 1
direct
0.131 0.369 0.762
0.196 0.196 0.000
0.251 0.000 0.251
0.393 0.631 0.762
0.607 0.369 0.238
0.749 0.000 0.749
0.804 0.804 0.000
0.869 0.631 0.238
0.315 0.815 0.500
0.685 0.185 0.500
0.000 0.500 0.500
```

Compound: Pr8InPd2
Source: Alexandria via LeMat-Bulk
Functional: PBE
Structure: optimized geometry

Calculated values
ΔH_f (0 K): -0.344 eV/atom
Electronic total energy: -5.0127 eV per atom
Polymorph energy (0 for the lowest one): 0 meV per atom
Crystal system: monoclinic
M_tot: 0.00 μB/atom

```
Pr8InPd2
1.0
8.951 -2.560 0.000
8.951 2.560 0.000
-3.388 0.000 7.372
Pr In Pd
8 1 2
direct
0.048 0.048 0.263
0.186 0.186 0.790
0.318 0.318 0.525
0.407 0.407 0.036
0.593 0.593 0.964
0.682 0.682 0.475
0.814 0.814 0.210
0.952 0.952 0.737
0.500 0.500 0.500
0.191 0.191 0.152
0.809 0.809 0.848
```

Compound: Pr5In4Pd
Source: Alexandria via LeMat-Bulk
Functional: PBE
Structure: optimized geometry

Calculated values
ΔH_f (0 K): -0.539 eV/atom
Electronic total energy: -4.5437 eV per atom
Crystal system: tetragonal
M_tot: 0.00 μB/atom

```
Pr5In4Pd
1.0
3.684 0.000 0.000
0.000 3.684 0.000
0.000 0.000 21.025
Pr In Pd
5 4 1
direct
0.000 0.000 0.000
0.000 0.000 0.207
0.000 0.000 0.415
0.000 0.000 0.585
0.000 0.000 0.793
0.500 0.500 0.103
0.500 0.500 0.311
0.500 0.500 0.689
0.500 0.500 0.897
0.500 0.500 0.500
```

Compound: PrIn5Pd3
Source: Alexandria via LeMat-Bulk
Functional: PBE
Structure: optimized geometry

Calculated values
ΔH_f (0 K): -0.389 eV/atom
Electronic total energy: -4.1726 eV per atom
Crystal system: orthorhombic
M_tot: 0.00 μB/atom

```
PrIn5Pd3
1.0
1.892 -7.369 0.000
1.892 7.369 0.000
0.000 0.000 14.681
Pr In Pd
2 10 6
direct
0.160 0.840 0.750
0.840 0.160 0.250
0.000 0.000 0.000
0.000 0.000 0.500
0.200 0.800 0.068
0.200 0.800 0.432
0.453 0.547 0.654
0.453 0.547 0.846
0.547 0.453 0.154
0.547 0.453 0.346
0.800 0.200 0.568
0.800 0.200 0.932
0.156 0.844 0.250
0.381 0.619 0.069
0.381 0.619 0.431
0.619 0.381 0.569
0.619 0.381 0.931
0.844 0.156 0.750
```

Compound: Pr11In9Pd4
Source: Alexandria via LeMat-Bulk
Functional: PBE
Structure: optimized geometry

Calculated values
ΔH_f (0 K): -0.633 eV/atom
Electronic total energy: -4.7163 eV per atom
Crystal system: orthorhombic
M_tot: 0.00 μB/atom

```
Pr11In9Pd4
1.0
7.537 -11.326 0.000
7.537 11.326 0.000
0.000 0.000 3.867
Pr In Pd
11 9 4
direct
0.000 0.000 0.000
0.070 0.414 0.000
0.162 0.838 0.000
0.309 0.309 0.000
0.372 0.628 0.000
0.414 0.070 0.000
0.586 0.930 0.000
0.628 0.372 0.000
0.691 0.691 0.000
0.838 0.162 0.000
0.930 0.586 0.000
0.076 0.217 0.500
0.162 0.632 0.500
0.217 0.076 0.500
0.368 0.838 0.500
0.500 0.500 0.500
0.632 0.162 0.500
0.783 0.924 0.500
0.838 0.368 0.500
0.924 0.783 0.500
0.246 0.448 0.500
0.448 0.246 0.500
0.552 0.754 0.500
0.754 0.552 0.500
```

Compound: PrIn4Pd7
Source: Alexandria via LeMat-Bulk
Functional: PBE
Structure: optimized geometry

Calculated values
ΔH_f (0 K): -0.436 eV/atom
Electronic total energy: -4.7761 eV per atom
Crystal system: monoclinic
M_tot: 0.00 μB/atom

```
PrIn4Pd7
1.0
5.611 -2.556 0.000
5.611 2.556 0.000
-5.445 0.000 8.359
Pr In Pd
1 4 7
direct
0.000 0.000 0.000
0.262 0.262 0.666
0.413 0.413 0.226
0.587 0.587 0.774
0.738 0.738 0.334
0.061 0.061 0.344
0.219 0.219 0.906
0.355 0.355 0.461
0.500 0.500 0.000
0.645 0.645 0.539
0.781 0.781 0.094
0.939 0.939 0.656
```

Please write out number 11 again, unchanged.
Compound: Pr11In9Pd4
Source: Alexandria via LeMat-Bulk
Functional: PBE
Structure: optimized geometry

Calculated values
ΔH_f (0 K): -0.633 eV/atom
Electronic total energy: -4.7163 eV per atom
Crystal system: orthorhombic
M_tot: 0.00 μB/atom

```
Pr11In9Pd4
1.0
7.537 -11.326 0.000
7.537 11.326 0.000
0.000 0.000 3.867
Pr In Pd
11 9 4
direct
0.000 0.000 0.000
0.070 0.414 0.000
0.162 0.838 0.000
0.309 0.309 0.000
0.372 0.628 0.000
0.414 0.070 0.000
0.586 0.930 0.000
0.628 0.372 0.000
0.691 0.691 0.000
0.838 0.162 0.000
0.930 0.586 0.000
0.076 0.217 0.500
0.162 0.632 0.500
0.217 0.076 0.500
0.368 0.838 0.500
0.500 0.500 0.500
0.632 0.162 0.500
0.783 0.924 0.500
0.838 0.368 0.500
0.924 0.783 0.500
0.246 0.448 0.500
0.448 0.246 0.500
0.552 0.754 0.500
0.754 0.552 0.500
```